The following is a DFT calculation (SCAN) of CrH12PdN4O4 at its PBEsol-relaxed geometry. Values from VASP.

## Properties
Final energy ... -7.80 eV per atom
Space-group type ... I4_1/amd (141)

Quantum ESPRESSO input file:
```
&SYSTEM
  ibrav = 0, nat = 44, ntyp = 5
/
ATOMIC_SPECIES
Cr 52.00 Cr.upf
H 1.01 H.upf
Pd 106.42 Pd.upf
N 14.01 N.upf
O 16.00 O.upf
ATOMIC_POSITIONS angstrom
Cr 3.609 1.805 1.907
Cr 0.000 1.805 5.721
H 2.462 -0.967 2.277
H 4.756 -0.967 2.277
H 0.838 0.658 1.537
H 6.381 0.658 1.537
H 2.256 1.805 -0.826
H 4.963 1.805 -0.826
H 2.462 2.642 -2.277
H 1.147 -0.967 5.350
H 0.000 0.451 2.988
H 3.609 0.451 4.640
H 0.838 4.267 -1.537
H 2.771 0.658 6.091
H 0.838 2.951 1.537
H 2.771 -0.658 9.164
H 0.000 3.158 2.988
H 3.609 3.158 4.640
H 2.462 4.576 2.277
H 1.147 0.967 9.905
H -1.354 1.805 8.454
H 1.354 1.805 8.454
H -2.771 2.951 6.091
H 2.771 2.951 6.091
H -1.147 4.576 5.350
H 1.147 4.576 5.350
Pd 3.609 -1.805 5.721
Pd 0.000 5.414 1.907
N 2.022 1.805 -1.846
N 5.196 1.805 -1.846
N 0.000 0.218 1.968
N 3.609 0.218 5.660
N 0.000 3.391 1.968
N 3.609 3.391 5.660
N -1.587 1.805 9.473
N 1.587 1.805 9.473
O 3.609 0.449 2.849
O 2.254 1.805 0.964
O 4.964 1.805 0.964
O 0.000 0.449 4.778
O 3.609 3.160 2.849
O -1.355 1.805 6.663
O 1.355 1.805 6.663
O 0.000 3.160 4.778
CELL_PARAMETERS angstrom
-3.609 3.609 7.628
3.609 -3.609 7.628
3.609 3.609 -7.628
```